[1]
The following is a PBE calculation of crystalline GdInAgPd at its relaxed geometry, from Alexandria via LeMat-Bulk.

a = 4.9163 Å, b = 4.9163 Å, c = 4.9163 Å
α = 60.00°, β = 60.00°, γ = 60.00°
Last column: magnetic moment on the atom in μB.
Atoms (fractional coordinates):
Pd 0.5000 0.5000 0.5000  0.02
In 0.2500 0.2500 0.2500  0.01
Ag 0.0000 0.0000 0.0000  0.01
Gd 0.7500 0.7500 0.7500  7.02

Space-group type: F-43m, No. 216
DFT formation energy: -0.537 eV per atom

***

[2]
The following is a PBE calculation of crystalline PmGdInAg at its relaxed geometry, from Alexandria via LeMat-Bulk.

a = 5.3371 Å, b = 5.3371 Å, c = 5.3371 Å
α = 60.00°, β = 60.00°, γ = 60.00°
Last column: magnetic moment on the atom in μB.
Atoms (fractional coordinates):
Ag 0.0000 0.0000 0.0000  0.02
Gd 0.2500 0.2500 0.2500  7.18
Pm 0.7500 0.7500 0.7500  0.12
In 0.5000 0.5000 0.5000  0.01

Space-group type: F-43m, No. 216
DFT formation energy: -0.392 eV per atom

***

[3]
The following is a PBE calculation of crystalline GdInAgRh at its relaxed geometry, from Alexandria via LeMat-Bulk.

a = 4.8635 Å, b = 4.8635 Å, c = 4.8635 Å
α = 60.00°, β = 60.00°, γ = 60.00°
Last column: magnetic moment on the atom in μB.
Atoms (fractional coordinates):
Gd 0.5000 0.5000 0.5000  7.03
Rh 0.2500 0.2500 0.2500  0.03
Ag 0.7500 0.7500 0.7500  0.01
In 0.0000 0.0000 0.0000  0.01

Space-group type: F-43m, No. 216
DFT formation energy: -0.439 eV per atom

***

[4]
The following is a PBE calculation of crystalline GdInAgRu at its relaxed geometry, from Alexandria via LeMat-Bulk.

a = 4.8468 Å, b = 4.8468 Å, c = 4.8468 Å
α = 60.00°, β = 60.00°, γ = 60.00°
Last column: magnetic moment on the atom in μB.
Atoms (fractional coordinates):
Gd 0.7500 0.7500 0.7500  -7.02
Ru 0.5000 0.5000 0.5000  0.02
In 0.2500 0.2500 0.2500  0.00
Ag 0.0000 0.0000 0.0000  -0.01

Space-group type: F-43m, No. 216
DFT formation energy: -0.158 eV per atom

***

In μB/f.u., the total magnetization values for the records above are, in order, 7.2, 7.7, 7.3, 7.1.